1.
First-principles (PBE) data for crystalline Si2GeBr at its relaxed geometry, as listed in the Alexandria database.

Formation energy from raw total energies   58.6 kJ/mol of atoms
Space-group type   I-42d, No. 122

Cell and atoms, written as CIF:
```
data_Si2GeBr
_cell_length_a 6.405
_cell_length_b 6.405
_cell_length_c 6.405
_cell_angle_alpha 115.51
_cell_angle_beta 115.51
_cell_angle_gamma 97.97
_space_group_name_H-M_alt 'P 1'
_space_group_IT_number 1
loop_
_space_group_symop_operation_xyz
'x,y,z'
loop_
_atom_site_label
_atom_site_fract_x
_atom_site_fract_y
_atom_site_fract_z
Si1 0.079 0.625 0.954
Si2 0.375 0.329 0.454
Si3 0.671 0.125 0.046
Si4 0.875 0.921 0.546
Ge1 0.000 0.000 0.000
Ge2 0.750 0.250 0.500
Br1 0.250 0.750 0.500
Br2 0.500 0.500 0.000
```

---

2.
First-principles (PBE) data for crystalline LiRu2Rh2 at its relaxed geometry, as listed in the Alexandria database.

Energy of formation from the pure elements   19.8 kJ per mole of atoms
Space-group type   P4/mbm, No. 127

Cell and atoms, written as CIF:
```
data_LiRu2Rh2
_cell_length_a 7.540
_cell_length_b 7.540
_cell_length_c 2.696
_cell_angle_alpha 90.00
_cell_angle_beta 90.00
_cell_angle_gamma 90.00
_space_group_name_H-M_alt 'P 1'
_space_group_IT_number 1
loop_
_space_group_symop_operation_xyz
'x,y,z'
loop_
_atom_site_label
_atom_site_fract_x
_atom_site_fract_y
_atom_site_fract_z
Li1 0.000 0.000 0.000
Li2 0.500 0.500 0.000
Ru1 0.174 0.326 0.500
Ru2 0.326 0.826 0.500
Ru3 0.674 0.174 0.500
Ru4 0.826 0.674 0.500
Rh1 0.122 0.622 0.000
Rh2 0.378 0.122 0.000
Rh3 0.622 0.878 0.000
Rh4 0.878 0.378 0.000
```

---

3.
First-principles (PBE) data for crystalline Nd5Sm4Y at its relaxed geometry, as listed in the Alexandria database.

Energy of formation from the pure elements   23.3 kJ per mole of atoms
Space-group type   I4mm, No. 107

Cell and atoms, written as CIF:
```
data_Nd5Sm4Y
_cell_length_a 8.127
_cell_length_b 8.127
_cell_length_c 8.127
_cell_angle_alpha 98.43
_cell_angle_beta 98.43
_cell_angle_gamma 134.98
_space_group_name_H-M_alt 'P 1'
_space_group_IT_number 1
loop_
_space_group_symop_operation_xyz
'x,y,z'
loop_
_atom_site_label
_atom_site_fract_x
_atom_site_fract_y
_atom_site_fract_z
Nd1 0.000 0.000 0.000
Nd2 0.541 0.541 0.621
Nd3 0.541 0.920 0.000
Nd4 0.920 0.541 0.000
Nd5 0.920 0.920 0.379
Sm1 0.254 0.579 0.325
Sm2 0.254 0.929 0.675
Sm3 0.579 0.254 0.325
Sm4 0.929 0.254 0.675
Y1 0.465 0.465 0.000
```

---

4.
First-principles (PBE) data for crystalline LaTbTlNi at its relaxed geometry, as listed in the Alexandria database.

Energy of formation from the pure elements   -19.3 kJ per mole of atoms
Space-group type   F-43m, No. 216

Cell and atoms, written as CIF:
```
data_LaTbTlNi
_cell_length_a 5.268
_cell_length_b 5.268
_cell_length_c 5.268
_cell_angle_alpha 60.00
_cell_angle_beta 60.00
_cell_angle_gamma 60.00
_space_group_name_H-M_alt 'P 1'
_space_group_IT_number 1
loop_
_space_group_symop_operation_xyz
'x,y,z'
loop_
_atom_site_label
_atom_site_fract_x
_atom_site_fract_y
_atom_site_fract_z
La1 0.000 0.000 0.000
Tb1 0.500 0.500 0.500
Tl1 0.250 0.250 0.250
Ni1 0.750 0.750 0.750
```

---

5.
First-principles (PBE) data for crystalline HfPa5 at its relaxed geometry, as listed in the Alexandria database.

Energy of formation from the pure elements   3.6 kJ per mole of atoms
Space-group type   Pmmn, No. 59

Cell and atoms, written as CIF:
```
data_HfPa5
_cell_length_a 4.493
_cell_length_b 9.897
_cell_length_c 6.665
_cell_angle_alpha 90.00
_cell_angle_beta 90.00
_cell_angle_gamma 90.00
_space_group_name_H-M_alt 'P 1'
_space_group_IT_number 1
loop_
_space_group_symop_operation_xyz
'x,y,z'
loop_
_atom_site_label
_atom_site_fract_x
_atom_site_fract_y
_atom_site_fract_z
Hf1 0.250 0.250 0.132
Hf2 0.750 0.750 0.868
Pa1 0.250 0.250 0.628
Pa2 0.250 0.582 0.628
Pa3 0.250 0.584 0.119
Pa4 0.250 0.916 0.119
Pa5 0.250 0.918 0.628
Pa6 0.750 0.082 0.372
Pa7 0.750 0.084 0.881
Pa8 0.750 0.416 0.881
Pa9 0.750 0.418 0.372
Pa10 0.750 0.750 0.372
```

---

6.
First-principles (PBE) data for crystalline AlOsS2N at its relaxed geometry, as listed in the Alexandria database.

Formation energy from raw total energies   36.6 kJ/mol of atoms
Space-group type   P4/mmm, No. 123

Cell and atoms, written as CIF:
```
data_AlOsS2N
_cell_length_a 4.844
_cell_length_b 4.844
_cell_length_c 3.674
_cell_angle_alpha 90.00
_cell_angle_beta 90.00
_cell_angle_gamma 90.00
_space_group_name_H-M_alt 'P 1'
_space_group_IT_number 1
loop_
_space_group_symop_operation_xyz
'x,y,z'
loop_
_atom_site_label
_atom_site_fract_x
_atom_site_fract_y
_atom_site_fract_z
Al1 0.000 0.000 0.000
Os1 0.500 0.500 0.500
S1 0.000 0.500 0.500
S2 0.500 0.000 0.500
N1 0.500 0.500 0.000
```